## ZrOs2W (PBE)

Data for a relaxed structure of ZrOs2W.

The structure in POSCAR format:
```
ZrOs2W
1.0
7.245 0.000 0.000
0.000 7.245 0.000
3.622 3.622 2.789
Os Zr W
4 2 2
direct
0.659 0.125 0.250 Os
0.091 0.625 0.250 Os
0.375 0.341 0.750 Os
0.875 0.909 0.750 Os
0.500 0.500 0.000 Zr
0.250 0.750 0.500 Zr
0.000 0.000 0.000 W
0.750 0.250 0.500 W
```

Summary:
The value obtained for the total magnetization is 0.00 μB/atom. The symmetry is I-42d, No. 122. As for the formation energy: 0.55 eV per atom. Its electronic total energy is -83.5 eV for the cell shown.

## Zr2OsW (PBE)

Data for a relaxed structure of Zr2OsW.

The structure in POSCAR format:
```
Zr2OsW
1.0
-2.999 0.091 1.380
-1.360 -0.794 -2.902
0.514 -6.534 1.547
Os W Zr
1 1 2
direct
0.500 0.500 0.250 Os
0.500 0.500 0.750 W
0.000 0.000 0.006 Zr
0.000 0.000 0.494 Zr
```

Summary:
The value obtained for the total magnetization is 0.00 μB/atom. The symmetry is P4/mmm, No. 123. As for the formation energy: -0.15 eV per atom. Its electronic total energy is -41.9 eV for the cell shown.

## Zr2OsW (PBE)

Data for a relaxed structure of Zr2OsW.

The structure in POSCAR format:
```
Zr2OsW
1.0
-1.832 -3.917 1.720
1.242 -4.122 -1.768
2.642 -2.903 2.500
Os W Zr
1 1 2
direct
0.500 0.500 0.500 Os
0.750 0.750 0.750 W
0.000 0.000 0.000 Zr
0.250 0.250 0.250 Zr
```

Summary:
The value obtained for the total magnetization is 0.00 μB/atom. The symmetry is F-43m, No. 216. As for the formation energy: -0.05 eV per atom. Its electronic total energy is -41.5 eV for the cell shown.

## ZrOs2W (PBE)

Data for a relaxed structure of ZrOs2W.

The structure in POSCAR format:
```
ZrOs2W
1.0
3.196 0.000 0.000
0.000 4.658 0.000
0.000 0.000 4.408
Os W Zr
2 1 1
direct
0.000 0.000 0.000 Os
0.500 0.500 0.000 Os
0.500 0.000 0.500 W
0.000 0.500 0.500 Zr
```

Summary:
The value obtained for the total magnetization is 0.00 μB/atom. The symmetry is Pmmm, No. 47. As for the formation energy: 0.15 eV per atom. Its electronic total energy is -43.4 eV for the cell shown.

## ZrOs2W (PBE)

Data for a relaxed structure of ZrOs2W.

The structure in POSCAR format:
```
ZrOs2W
1.0
2.889 0.000 0.000
0.000 3.898 0.000
0.000 0.000 5.980
Os W Zr
2 1 1
direct
0.000 0.000 0.023 Os
0.500 0.500 0.251 Os
0.000 0.000 0.462 W
0.500 0.500 0.764 Zr
```

Summary:
The value obtained for the total magnetization is 0.00 μB/atom. The symmetry is Pmm2, No. 25. As for the formation energy: 0.18 eV per atom. Its electronic total energy is -43.2 eV for the cell shown.

## ZrOsW4 (PBE)

Data for a relaxed structure of ZrOsW4.

The structure in POSCAR format:
```
ZrOsW4
1.0
0.000 3.740 3.740
3.740 0.000 3.740
3.740 3.740 0.000
Zr Os W
1 1 4
direct
0.750 0.750 0.750 Zr
0.000 0.000 0.000 Os
0.872 0.376 0.376 W
0.376 0.376 0.872 W
0.376 0.872 0.376 W
0.376 0.376 0.376 W
```

Summary:
The value obtained for the total magnetization is 0.00 μB/atom. The symmetry is F-43m, No. 216. As for the formation energy: 0.29 eV per atom. Its electronic total energy is -69.8 eV for the cell shown.

Look up the electronic total energy of the fifth one. -43.2 eV for the cell shown